(1)
A relaxed structure of Li2TlZnN. Source: Alexandria via LeMat-Bulk, functional PBE.

The energy relative to the elements, uncorrected is -0.0815 eV per atom. The value obtained for the magnetization is 0.0 μB per cell. The density of states at the Fermi level comes out at 1.6 states/eV/f.u. For the final energy, the calculation gives -3.240 eV/atom.

Lattice parameters (Å, degrees): 4.3785 4.3785 3.9324 90.00 90.00 90.00
Fractional positions:
Li 0.0000 0.5000 0.0000
Li 0.5000 0.0000 0.0000
Tl 0.0000 0.0000 0.5000
Zn 0.5000 0.5000 0.5000
N 0.5000 0.5000 0.0000



(2)
A relaxed structure of Tc2HgPt. Source: Alexandria via LeMat-Bulk, functional PBE.

The value obtained for the formation energy from the elements is 1.40 eV per formula unit. The value obtained for the magnetization is 0.0 μB per cell. The density of states at the Fermi level comes out at 4.7 states/eV/f.u. For the final energy, the calculation gives -6.419 eV/atom.

Lattice parameters (Å, degrees): 2.7839 2.7839 8.3543 90.00 90.00 90.00
Fractional positions:
Tc 0.0000 0.0000 0.2328
Tc 0.0000 0.0000 0.7672
Hg 0.5000 0.5000 0.5000
Pt 0.5000 0.5000 0.0000



Among the records above, which one has the lowest final energy?
Tc2HgPt



Which formula does entry 1 have?
Li2TlZnN